1.
A relaxed structure of LaGa2NiPd2, computed with PBE.

a = 4.5656 Å, b = 4.5656 Å, c = 5.5104 Å
α = 90.00°, β = 90.00°, γ = 90.00°
Last column: nearest neighbours and their distance in Å.
Space group P4/mmm (No. 123)
Unique sites:
La (0.0000, 0.0000, 0.0000)  2 Ni 2.76
Ga (0.0000, 0.5000, 0.5000)  2 Ni 2.28
Ni (0.0000, 0.0000, 0.5000)  4 Ga 2.28
Pd (0.5000, 0.5000, 0.2434)  2 Pd 2.68-2.83, 4 Ga 2.69

* magnetic moment: 0.00 μB/f.u.
* energy relative to the elements: -0.56 eV/atom
* electronic total energy: -5.08 eV/atom

2.
A relaxed structure of LaGa2Ni2Pd, computed with PBE.

a = 4.6992 Å, b = 4.6992 Å, c = 5.4070 Å
α = 90.00°, β = 90.00°, γ = 90.00°
Last column: nearest neighbours and their distance in Å.
Space group P4/mmm (No. 123)
Unique sites:
La (0.0000, 0.0000, 0.0000)  2 Pd 2.70
Ga (0.0000, 0.5000, 0.5000)  2 Pd 2.35
Ni (0.5000, 0.5000, 0.2497)  2 Ni 2.70-2.71, 4 Ga 2.71
Pd (0.0000, 0.0000, 0.5000)  4 Ga 2.35

* magnetic moment: 0.00 μB/f.u.
* energy relative to the elements: -0.14 eV/atom
* electronic total energy: -4.76 eV/atom

3.
A relaxed structure of La2Ga3Ni12Pd, computed with PBE.

a = 8.5967 Å, b = 8.5967 Å, c = 12.1732 Å
α = 90.00°, β = 90.00°, γ = 120.00°
Last column: nearest neighbours and their distance in Å.
Space group R-3m (No. 166, hexagonal axes)
Unique sites:
La (0.0000, 0.0000, 0.1625)  9 Ni 2.56-2.85
Ga (0.0000, 0.5000, 0.0000)  6 Ni 2.44-2.60
Ni (0.0035, 0.5018, 0.6065)  2 Ni 2.35-2.59, 2 Ga 2.60
Ni (0.0069, 0.5035, 0.2006)  3 Ni 2.35-2.57, 1 Ga 2.44, 1 Pd 2.46, 1 La 2.56
Pd (0.0000, 0.0000, 0.5000)  6 Ni 2.46

* magnetic moment: 0.00 μB/f.u.
* energy relative to the elements: -0.05 eV/atom
* electronic total energy: -5.25 eV/atom

4.
A relaxed structure of LaPmGaNi, computed with PBE.

a = 4.4093 Å, b = 3.8592 Å, c = 11.6517 Å
α = 90.00°, β = 90.00°, γ = 90.00°
Last column: nearest neighbours and their distance in Å.
Space group Amm2 (No. 38)
Unique sites:
La (0.0000, 0.0000, 0.0000)  4 Ni 3.10, 3 Ga 3.12-3.37
Pm (0.5000, 0.0000, 0.2765)  2 Ni 2.94, 4 Ga 3.03
Ga (0.0000, 0.0000, 0.7104)  2 Ni 2.63
Ni (0.5000, 0.0000, 0.5866)  2 Ga 2.63, 2 Pm 2.94

* magnetic moment: 0.00 μB/f.u.
* energy relative to the elements: -0.43 eV/atom
* electronic total energy: -5.05 eV/atom

5.
A relaxed structure of LaPmGaNi, computed with PBE.

a = 7.2752 Å, b = 7.2752 Å, c = 7.2752 Å
α = 90.00°, β = 90.00°, γ = 90.00°
Last column: nearest neighbours and their distance in Å.
Space group F-43m (No. 216)
Unique sites:
La (0.0000, 0.0000, 0.0000)  4 Ni 3.15, 4 Ga 3.15
Pm (0.0000, 0.0000, 0.5000)  4 Ni 3.15, 4 Ga 3.15
Ga (0.2500, 0.2500, 0.2500)  4 La 3.15, 4 Pm 3.15
Ni (0.2500, 0.2500, 0.7500)  4 La 3.15, 4 Pm 3.15

* magnetic moment: 0.00 μB/f.u.
* energy relative to the elements: -0.34 eV/atom
* electronic total energy: -4.96 eV/atom

6.
A relaxed structure of LaPrGaNi, computed with PBE.

a = 4.4099 Å, b = 3.9012 Å, c = 11.7332 Å
α = 90.00°, β = 90.00°, γ = 90.00°
Last column: nearest neighbours and their distance in Å.
Space group Amm2 (No. 38)
Unique sites:
La (0.0000, 0.0000, 0.0000)  4 Ni 3.10, 3 Ga 3.11-3.44
Pr (0.5000, 0.0000, 0.2786)  2 Ni 3.00, 4 Ga 3.06
Ga (0.0000, 0.0000, 0.7068)  2 Ni 2.64
Ni (0.5000, 0.0000, 0.5839)  2 Ga 2.64

* magnetic moment: 0.00 μB/f.u.
* energy relative to the elements: -0.41 eV/atom
* electronic total energy: -5.04 eV/atom

7.
A relaxed structure of LaPrGaNi, computed with PBE.

a = 7.3300 Å, b = 7.3300 Å, c = 7.3300 Å
α = 90.00°, β = 90.00°, γ = 90.00°
Last column: nearest neighbours and their distance in Å.
Space group F-43m (No. 216)
Unique sites:
La (0.0000, 0.0000, 0.0000)  4 Ni 3.17, 4 Ga 3.17
Pr (0.0000, 0.0000, 0.5000)  4 Ni 3.17, 4 Ga 3.17
Ga (0.2500, 0.2500, 0.7500)  4 La 3.17, 4 Pr 3.17
Ni (0.2500, 0.2500, 0.2500)  4 La 3.17, 4 Pr 3.17

* magnetic moment: 0.00 μB/f.u.
* energy relative to the elements: -0.31 eV/atom
* electronic total energy: -4.94 eV/atom

8.
A relaxed structure of La2GaNi3Pt12, computed with PBE.

a = 8.0057 Å, b = 8.0057 Å, c = 19.4756 Å
α = 90.00°, β = 90.00°, γ = 120.00°
Last column: nearest neighbours and their distance in Å.
Space group R-3m (No. 166, hexagonal axes)
Unique sites:
La (0.0000, 0.0000, 0.1208)  6 Pt 2.82-2.86
Ga (0.0000, 0.0000, 0.5000)  6 Pt 2.47
Ni (0.0000, 0.5000, 0.0000)  6 Pt 2.42-2.44
Pt (0.0026, 0.5013, 0.8749)  1 Ni 2.44, 1 Ga 2.47
Pt (0.0055, 0.5028, 0.3738)  2 Ni 2.42

* magnetic moment: 3.82 μB/f.u.
* energy relative to the elements: -0.13 eV/atom
* electronic total energy: -5.83 eV/atom

9.
A relaxed structure of La2Ga4Ni3Pt, computed with PBE.

a = 4.2187 Å, b = 4.2187 Å, c = 10.2305 Å
α = 90.00°, β = 90.00°, γ = 90.00°
Last column: nearest neighbours and their distance in Å.
Space group P-4m2 (No. 115)
Unique sites:
La (0.0000, 0.5000, 0.2438)  6 Ni 3.21-3.36, 8 Ga 3.24-3.27, 2 Pt 3.36
Ga (0.0000, 0.0000, 0.0000)  4 Ni 2.48
Ga (0.0000, 0.5000, 0.6337)  3 Ni 2.45-2.51, 2 Pt 2.51
Ga (0.5000, 0.5000, 0.0000)  4 Ni 2.48
Ni (0.0000, 0.5000, 0.8728)  5 Ga 2.45-2.48
Ni (0.5000, 0.5000, 0.5000)  4 Ga 2.51
Pt (0.0000, 0.0000, 0.5000)  4 Ga 2.51

* magnetic moment: 0.00 μB/f.u.
* energy relative to the elements: -0.66 eV/atom
* electronic total energy: -5.20 eV/atom

10.
A relaxed structure of La2GaNiPt6, computed with PBE.

a = 5.6137 Å, b = 5.6137 Å, c = 23.6447 Å
α = 90.00°, β = 90.00°, γ = 120.00°
Last column: nearest neighbours and their distance in Å.
Space group R-3m (No. 166, hexagonal axes)
Unique sites:
La (0.0000, 0.0000, 0.2037)  9 Pt 3.02-3.29, 3 Ni 3.36
Ga (0.0000, 0.0000, 0.0000)  6 Pt 2.55
Ni (0.0000, 0.0000, 0.5000)  6 Pt 2.55
Pt (0.0027, 0.5014, 0.2504)  1 Ni 2.55, 1 Ga 2.55, 4 Pt 2.78-2.83

* magnetic moment: 0.00 μB/f.u.
* energy relative to the elements: -0.73 eV/atom
* electronic total energy: -6.22 eV/atom

11.
A relaxed structure of La2Ga3NiPt4, computed with PBE.

a = 4.1937 Å, b = 4.1937 Å, c = 10.9808 Å
α = 90.00°, β = 90.00°, γ = 90.00°
Last column: nearest neighbours and their distance in Å.
Space group P-4m2 (No. 115)
Unique sites:
La (0.0000, 0.5000, 0.2372)  4 Pt 3.16, 6 Ga 3.29-3.34, 2 Ni 3.34
Ga (0.0000, 0.0000, 0.0000)  4 Pt 2.58
Ga (0.0000, 0.5000, 0.6327)  5 Pt 2.52-2.55
Ni (0.5000, 0.5000, 0.0000)  4 Pt 2.58
Pt (0.0000, 0.0000, 0.5000)  4 Ga 2.55
Pt (0.0000, 0.5000, 0.8626)  3 Ga 2.52-2.58, 2 Ni 2.58
Pt (0.5000, 0.5000, 0.5000)  4 Ga 2.55

* magnetic moment: 0.00 μB/f.u.
* energy relative to the elements: -0.90 eV/atom
* electronic total energy: -5.79 eV/atom

12.
A relaxed structure of LaGaNi2Pt2, computed with PBE.

a = 4.6804 Å, b = 4.6804 Å, c = 5.5696 Å
α = 90.00°, β = 90.00°, γ = 90.00°
Last column: nearest neighbours and their distance in Å.
Space group P4/mmm (No. 123)
Unique sites:
La (0.0000, 0.0000, 0.0000)  2 Ga 2.78
Ga (0.0000, 0.0000, 0.5000)  4 Pt 2.34
Ni (0.5000, 0.5000, 0.2744)  1 Ni 2.51, 4 Pt 2.66
Pt (0.0000, 0.5000, 0.5000)  2 Ga 2.34

* magnetic moment: 0.14 μB/f.u.
* energy relative to the elements: 0.01 eV/atom
* electronic total energy: -5.26 eV/atom